First-principles (GGA-PBE) data for a geometry-optimized SrMgS2N structure, as listed in the Alexandria database.

Geometry as CIF:
```
data_SrMgS2N
_space_group_name_H-M_alt 'P 4/m m m'
_space_group_IT_number 123
_space_group_name_Hall '-P 4 2'
_cell_length_a 5.552
_cell_length_b 5.552
_cell_length_c 4.735
_cell_angle_alpha 90.00
_cell_angle_beta 90.00
_cell_angle_gamma 90.00
loop_
_atom_site_label
_atom_site_fract_x
_atom_site_fract_y
_atom_site_fract_z
_atom_site_occupancy
Sr1 0.000 0.000 0.000 1
Mg1 0.500 0.500 0.500 1
S1 0.000 0.500 0.000 1
N1 0.000 0.000 0.500 1
```

Output
Energy relative to the elements, uncorrected ... 542 meV per atom
Total moment ... 2.93 μB per formula unit
Polymorph energy (0 for the lowest one) ... 92.4 kJ/mol of atoms
VASP energy ... -3.43 eV/atom